Compound: CrHOF2
Source: Alexandria
Functional: GGA+U
Structure: optimized geometry

Cell lengths 3.054, 3.054, 4.341 Å; angles 90.00, 90.00, 90.00 degrees
Site moments in Bohr magnetons follow the coordinates.
Positions (direct):
1 O 0.000 0.000 0.500  -0.12
2 F 0.500 0.000 0.000  -0.04
3 F 0.000 0.500 0.000  -0.04
4 H 0.000 0.000 0.000  0.00
5 Cr 0.500 0.500 0.500  3.20

Properties
E above lowest polymorph in meV per atom: 288
Total magnetic moment in μB/f.u.: 3.1
Final energy in eV per cell: -24.0
Crystal system: tetragonal